This record from the Alexandria database describes a geometry-optimized ScZn2Cd structure. The functional is PBE.

Results
N(E_F) in states/eV per cell: 2.7
E_tot in eV per cell: -10.49
Crystal system: tetragonal
Formation enthalpy at 0 K in eV/atom: -0.174

Unit cell a=3.1305 b=3.1305 c=7.5542 alpha=90.00 beta=90.00 gamma=90.00
Space group P4/mmm (No. 123)
One atom of each set of equivalent atoms:
Sc: 0.0000 0.0000 0.0000 x1
Zn: 0.5000 0.5000 0.2502 x2
Cd: 0.0000 0.0000 0.5000 x1

=====

This record from the Alexandria database describes a geometry-optimized ScZnCd2 structure. The functional is PBE.

Results
N(E_F) in states/eV per cell: 2.8
E_tot in eV per cell: -10.11
Crystal system: monoclinic
Formation enthalpy at 0 K in eV/atom: -0.168

Unit cell a=3.1370 b=4.4703 c=6.0328 alpha=90.00 beta=104.98 gamma=90.00
Space group Pm (No. 6)
One atom of each set of equivalent atoms:
Sc: 0.0000 0.0000 0.0000 x1
Zn: 0.5945 0.5000 0.1904 x1
Cd: 0.3507 0.5000 0.7030 x1
Cd: 0.7305 0.0000 0.4656 x1

=====

This record from the Alexandria database describes a geometry-optimized Sc4Zn3Cd structure. The functional is PBE.

Results
N(E_F) in states/eV per cell: 19.2
E_tot in eV per cell: -98.46
Crystal system: trigonal
Formation enthalpy at 0 K in eV/atom: -0.345

Unit cell a=4.8074 b=4.8074 c=23.5510 alpha=90.00 beta=90.00 gamma=120.00
Space group R-3m (No. 166, hexagonal axes)
One atom of each set of equivalent atoms:
Sc: 0.0000 0.0000 0.1209 x6
Sc: 0.0000 0.0000 0.3711 x6
Zn: 0.0000 0.0000 0.0000 x3
Zn: 0.0000 0.0000 0.2488 x6
Cd: 0.0000 0.0000 0.5000 x3

=====

This record from the Alexandria database describes a geometry-optimized ScZnCd2 structure. The functional is PBE.

Results
N(E_F) in states/eV per cell: 5.3
E_tot in eV per cell: -19.61
Crystal system: monoclinic
Formation enthalpy at 0 K in eV/atom: -0.092

Unit cell a=10.4653 b=3.1860 c=5.1763 alpha=90.00 beta=107.30 gamma=90.00
Space group C2/m (No. 12)
One atom of each set of equivalent atoms:
Sc: 0.0000 0.0000 0.0000 x2
Zn: 0.0000 0.5000 0.5000 x2
Cd: 0.2356 0.0000 0.7373 x4

=====

This record from the Alexandria database describes a geometry-optimized Sc2Zn3Cd structure. The functional is PBE.

Results
N(E_F) in states/eV per cell: 10.3
E_tot in eV per cell: -36.88
Crystal system: orthorhombic
Formation enthalpy at 0 K in eV/atom: -0.173

Unit cell a=3.4142 b=4.1991 c=16.8080 alpha=90.00 beta=90.00 gamma=90.00
Space group Imm2 (No. 44)
One atom of each set of equivalent atoms:
Sc: 0.0000 0.0000 0.0000 x2
Sc: 0.0000 0.5000 0.2131 x2
Zn: 0.0000 0.0000 0.5652 x2
Zn: 0.0000 0.5000 0.6406 x2
Zn: 0.0000 0.5000 0.7860 x2
Cd: 0.0000 0.0000 0.4044 x2

=====

This record from the Alexandria database describes a geometry-optimized Sc3Zn4Cd structure. The functional is PBE.

Results
N(E_F) in states/eV per cell: 4.2
E_tot in eV per cell: -27.43
Crystal system: tetragonal
Formation enthalpy at 0 K in eV/atom: -0.303

Unit cell a=4.6424 b=4.6424 c=6.8642 alpha=90.00 beta=90.00 gamma=90.00
Space group P4/mmm (No. 123)
One atom of each set of equivalent atoms:
Sc: 0.0000 0.0000 0.0000 x1
Sc: 0.0000 0.0000 0.5000 x1
Sc: 0.5000 0.5000 0.0000 x1
Zn: 0.0000 0.5000 0.2526 x4
Cd: 0.5000 0.5000 0.5000 x1

=====

This record from the Alexandria database describes a geometry-optimized Sc6Zn3Cd structure. The functional is PBE.

Results
N(E_F) in states/eV per cell: 19.8
E_tot in eV per cell: -90.26
Crystal system: monoclinic
Formation enthalpy at 0 K in eV/atom: -0.240

Unit cell a=8.6027 b=4.7714 c=10.5076 alpha=90.00 beta=106.89 gamma=90.00
Space group P2_1/m (No. 11)
One atom of each set of equivalent atoms:
Sc: 0.0431 0.2500 0.4085 x2
Sc: 0.1485 0.7500 0.1807 x2
Sc: 0.2315 0.2500 0.9973 x2
Sc: 0.3199 0.7500 0.7938 x2
Sc: 0.3720 0.2500 0.3295 x2
Sc: 0.3903 0.2500 0.6146 x2
Zn: 0.0295 0.7500 0.8794 x2
Zn: 0.1191 0.2500 0.7141 x2
Zn: 0.2775 0.7500 0.4743 x2
Cd: 0.4542 0.7500 0.1014 x2

=====

This record from the Alexandria database describes a geometry-optimized Sc12ZnCd3 structure. The functional is PBE.

Results
N(E_F) in states/eV per cell: 20.6
E_tot in eV per cell: -81.86
Crystal system: tetragonal
Formation enthalpy at 0 K in eV/atom: -0.116

Unit cell a=4.4844 b=4.4844 c=17.9375 alpha=90.00 beta=90.00 gamma=90.00
Space group P4/mmm (No. 123)
One atom of each set of equivalent atoms:
Sc: 0.0000 0.0000 0.0000 x1
Sc: 0.0000 0.0000 0.2464 x2
Sc: 0.0000 0.0000 0.5000 x1
Sc: 0.0000 0.5000 0.1192 x4
Sc: 0.0000 0.5000 0.3733 x4
Zn: 0.5000 0.5000 0.0000 x1
Cd: 0.5000 0.5000 0.2469 x2
Cd: 0.5000 0.5000 0.5000 x1

=====

This record from the Alexandria database describes a geometry-optimized ScZnCd structure. The functional is PBE.

Results
N(E_F) in states/eV per cell: 19.1
E_tot in eV per cell: -35.19
Crystal system: cubic
Formation enthalpy at 0 K in eV/atom: -0.092

Unit cell a=6.4002 b=6.4002 c=6.4002 alpha=90.00 beta=90.00 gamma=90.00
Space group F-43m (No. 216)
One atom of each set of equivalent atoms:
Sc: 0.0000 0.0000 0.0000 x4
Zn: 0.2500 0.2500 0.7500 x4
Cd: 0.0000 0.0000 0.5000 x4

=====

This record from the Alexandria database describes a geometry-optimized Sc2Zn3Cd3 structure. The functional is PBE.

Results
N(E_F) in states/eV per cell: 9.3
E_tot in eV per cell: -63.16
Crystal system: trigonal
Formation enthalpy at 0 K in eV/atom: -0.228

Unit cell a=4.7332 b=4.7332 c=23.2521 alpha=90.00 beta=90.00 gamma=120.00
Space group R3m (No. 160, hexagonal axes)
One atom of each set of equivalent atoms:
Sc: 0.0000 0.0000 0.0000 x3
Sc: 0.0000 0.0000 0.4906 x3
Zn: 0.0000 0.0000 0.1205 x3
Zn: 0.0000 0.0000 0.3681 x3
Zn: 0.0000 0.0000 0.8715 x3
Cd: 0.0000 0.0000 0.2413 x3
Cd: 0.0000 0.0000 0.6192 x3
Cd: 0.0000 0.0000 0.7478 x3

=====

This record from the Alexandria database describes a geometry-optimized Sc4ZnCd2 structure. The functional is PBE.

Results
N(E_F) in states/eV per cell: 28.6
E_tot in eV per cell: -87.40
Crystal system: trigonal
Formation enthalpy at 0 K in eV/atom: -0.100

Unit cell a=4.8645 b=4.8645 c=23.6972 alpha=90.00 beta=90.00 gamma=120.00
Space group R-3m (No. 166, hexagonal axes)
One atom of each set of equivalent atoms:
Sc: 0.0000 0.0000 0.1224 x6
Sc: 0.0000 0.0000 0.3737 x6
Zn: 0.0000 0.0000 0.5000 x3
Cd: 0.0000 0.0000 0.2482 x6

=====

This record from the Alexandria database describes a geometry-optimized ScZnCd2 structure. The functional is PBE.

Results
N(E_F) in states/eV per cell: 2.3
E_tot in eV per cell: -10.13
Crystal system: tetragonal
Formation enthalpy at 0 K in eV/atom: -0.174

Unit cell a=3.1977 b=3.1977 c=7.8961 alpha=90.00 beta=90.00 gamma=90.00
Space group P4mm (No. 99)
One atom of each set of equivalent atoms:
Sc: 0.0000 0.0000 0.0000 x1
Zn: 0.5000 0.5000 0.2275 x1
Cd: 0.0000 0.0000 0.4552 x1
Cd: 0.5000 0.5000 0.7275 x1

=====

This record from the Alexandria database describes a geometry-optimized ScZn17Cd structure. The functional is PBE.

Results
N(E_F) in states/eV per cell: 15.1
E_tot in eV per cell: -90.11
Crystal system: trigonal
Formation enthalpy at 0 K in eV/atom: -0.060

Unit cell a=8.8754 b=8.8754 c=13.3612 alpha=90.00 beta=90.00 gamma=120.00
Space group R3m (No. 160, hexagonal axes)
One atom of each set of equivalent atoms:
Sc: 0.0000 0.0000 0.0000 x3
Zn: 0.0000 0.0000 0.5673 x3
Zn: 0.0000 0.0000 0.7674 x3
Zn: 0.0016 0.5008 0.5121 x9
Zn: 0.0059 0.5029 0.8191 x9
Zn: 0.0259 0.3540 0.3363 x18
Zn: 0.1681 0.3361 0.5073 x9
Cd: 0.0000 0.0000 0.2691 x3

=====

This record from the Alexandria database describes a geometry-optimized ScZn2Cd structure. The functional is PBE.

Results
N(E_F) in states/eV per cell: 4.5
E_tot in eV per cell: -20.49
Crystal system: monoclinic
Formation enthalpy at 0 K in eV/atom: -0.113

Unit cell a=9.0642 b=3.1087 c=5.5121 alpha=90.00 beta=99.90 gamma=90.00
Space group C2/m (No. 12)
One atom of each set of equivalent atoms:
Sc: 0.0000 0.0000 0.0000 x2
Zn: 0.2485 0.5000 0.2534 x4
Cd: 0.0000 0.5000 0.5000 x2

=====

This record from the Alexandria database describes a geometry-optimized Sc3Zn2Cd4 structure. The functional is PBE.

Results
N(E_F) in states/eV per cell: 13.3
E_tot in eV per cell: -54.98
Crystal system: monoclinic
Formation enthalpy at 0 K in eV/atom: -0.254

Unit cell a=10.3762 b=4.7213 c=8.7467 alpha=90.00 beta=120.52 gamma=90.00
Space group C2/m (No. 12)
One atom of each set of equivalent atoms:
Sc: 0.0000 0.0000 0.0000 x2
Sc: 0.1665 0.5000 0.6641 x4
Zn: 0.1086 0.5000 0.2788 x4
Cd: 0.0618 0.0000 0.3890 x4
Cd: 0.2131 0.5000 0.0553 x4

=====

This record from the Alexandria database describes a geometry-optimized ScZn2Cd structure. The functional is PBE.

Results
N(E_F) in states/eV per cell: 3.0
E_tot in eV per cell: -21.11
Crystal system: tetragonal
Formation enthalpy at 0 K in eV/atom: -0.191

Unit cell a=4.7040 b=4.7040 c=6.5172 alpha=90.00 beta=90.00 gamma=90.00
Space group I-4m2 (No. 119)
One atom of each set of equivalent atoms:
Sc: 0.0000 0.0000 0.0000 x2
Zn: 0.0000 0.0000 0.5000 x2
Zn: 0.0000 0.5000 0.7500 x2
Cd: 0.0000 0.5000 0.2500 x2

=====

This record from the Alexandria database describes a geometry-optimized ScZnCd structure. The functional is PBE.

Results
N(E_F) in states/eV per cell: 1.9
E_tot in eV per cell: -8.75
Crystal system: trigonal
Formation enthalpy at 0 K in eV/atom: -0.076

Unit cell a=3.3247 b=3.3247 c=6.6630 alpha=90.00 beta=90.00 gamma=120.00
Space group P3m1 (No. 156)
One atom of each set of equivalent atoms:
Sc: 0.0000 0.0000 0.0000 x1
Zn: 0.3333 0.6667 0.3149 x1
Cd: 0.6667 0.3333 0.6358 x1

=====

This record from the Alexandria database describes a geometry-optimized Sc2ZnCd2 structure. The functional is PBE.

Results
N(E_F) in states/eV per cell: 20.4
E_tot in eV per cell: -66.11
Crystal system: orthorhombic
Formation enthalpy at 0 K in eV/atom: -0.152

Unit cell a=5.9191 b=13.5801 c=5.2849 alpha=90.00 beta=90.00 gamma=90.00
Space group Ibam (No. 72)
One atom of each set of equivalent atoms:
Sc: 0.1601 0.1800 0.0000 x8
Zn: 0.0000 0.0000 0.2500 x4
Cd: 0.1444 0.4032 0.0000 x8

=====

This record from the Alexandria database describes a geometry-optimized Sc2Zn15Cd2 structure. The functional is PBE.

Results
N(E_F) in states/eV per cell: 14.2
E_tot in eV per cell: -108.95
Crystal system: trigonal
Formation enthalpy at 0 K in eV/atom: -0.143

Unit cell a=9.0156 b=9.0156 c=13.1772 alpha=90.00 beta=90.00 gamma=120.00
Space group R-3m (No. 166, hexagonal axes)
One atom of each set of equivalent atoms:
Sc: 0.0000 0.0000 0.1560 x6
Zn: 0.0000 0.3079 0.5000 x18
Zn: 0.0000 0.5000 0.0000 x9
Zn: 0.0172 0.5086 0.6521 x18
Cd: 0.0000 0.0000 0.3920 x6

=====

This record from the Alexandria database describes a geometry-optimized ScZnCd structure. The functional is PBE.

Results
N(E_F) in states/eV per cell: 13.7
E_tot in eV per cell: -31.35
Crystal system: cubic
Formation enthalpy at 0 K in eV/atom: 0.228

Unit cell a=6.6080 b=6.6080 c=6.6080 alpha=90.00 beta=90.00 gamma=90.00
Space group F-43m (No. 216)
One atom of each set of equivalent atoms:
Sc: 0.0000 0.0000 0.0000 x4
Zn: 0.2500 0.2500 0.7500 x4
Cd: 0.2500 0.2500 0.2500 x4